The following is a DFT calculation (GGA-PBE) of a relaxed structure of Tm4TeAs.

## Properties
spin magnetization = 0.00 μB per formula unit
uncorrected formation energy = -3.60 eV per formula unit
space-group type = I4_1md, No. 109
crystal system = tetragonal
total energy = -58.55 eV for the cell shown

a = 7.913 Å, b = 7.913 Å, c = 7.913 Å
α = 105.91°, β = 105.91°, γ = 116.85°
Positions (direct):
Tm (0.716, 0.520, 0.197)
Tm (0.730, 0.446, 0.716)
Tm (0.323, 0.520, 0.803)
Tm (0.270, 0.573, 0.303)
Tm (0.196, 0.980, 0.216)
Tm (0.730, 0.014, 0.284)
Tm (0.764, 0.980, 0.784)
Tm (0.270, 0.966, 0.697)
As (0.762, 0.762, 0.000)
As (0.512, 0.012, 0.500)
Te (0.239, 0.239, 0.000)
Te (0.989, 0.489, 0.500)



The following is a DFT calculation (GGA-PBE) of a relaxed structure of TlAsI3.

## Properties
spin magnetization = 0.00 μB per formula unit
uncorrected formation energy = -1.66 eV per formula unit
offset from the most stable computed form = 0 meV per atom
space-group type = P-1, No. 2
crystal system = triclinic
total energy = -26.65 eV for the cell shown

a = 6.682 Å, b = 6.689 Å, c = 14.942 Å
α = 59.11°, β = 62.56°, γ = 88.19°
Positions (direct):
I (0.532, 0.312, 0.555)
I (0.203, 0.426, 0.329)
I (0.900, 0.100, 0.135)
I (0.987, 0.762, 0.924)
I (0.116, 0.763, 0.539)
I (0.571, 0.214, 0.908)
Tl (0.315, 0.027, 0.223)
Tl (0.788, 0.499, 0.240)
As (0.090, 0.303, 0.633)
As (0.013, 0.223, 0.831)



The following is a DFT calculation (GGA-PBE) of a relaxed structure of Sm2YCo.

## Properties
spin magnetization = 0.26 μB per formula unit
offset from the most stable computed form = 316 meV per atom
space-group type = R-3m, No. 166
crystal system = trigonal
total energy = -22.19 eV for the cell shown

a = 3.633 Å, b = 3.633 Å, c = 10.646 Å
α = 80.17°, β = 80.17°, γ = 60.00°
Positions (direct):
Sm (0.113, 0.113, 0.662)
Sm (0.887, 0.887, 0.338)
Y (0.000, 0.000, 0.000)
Co (0.500, 0.500, 0.500)



The following is a DFT calculation (GGA-PBE) of a relaxed structure of PtRhCl2.

## Properties
spin magnetization = 0.00 μB per formula unit
uncorrected formation energy = 1.52 eV per formula unit
offset from the most stable computed form = 493 meV per atom
space-group type = Imm2, No. 44
crystal system = orthorhombic
total energy = -15.56 eV for the cell shown

a = 7.496 Å, b = 7.496 Å, c = 7.496 Å
α = 154.04°, β = 153.32°, γ = 37.56°
Positions (direct):
Cl (0.003, 0.003, 0.000)
Cl (0.749, 0.249, 0.500)
Pt (0.447, 0.447, 0.000)
Rh (0.301, 0.801, 0.500)



The following is a DFT calculation (GGA-PBE) of a relaxed structure of RbAs2BrCl.

## Properties
spin magnetization = 5.00 μB per formula unit
uncorrected formation energy = 3.85 eV per formula unit
offset from the most stable computed form = 670 meV per atom
space-group type = P4/mmm, No. 123
crystal system = tetragonal
total energy = -9.93 eV for the cell shown

a = 7.440 Å, b = 5.899 Å, c = 7.440 Å
α = 90.00°, β = 90.00°, γ = 90.00°
Positions (direct):
Cl (0.000, 0.500, 0.000)
Br (0.500, 0.500, 0.500)
As (0.000, 0.000, 0.500)
As (0.500, 0.000, 0.000)
Rb (0.000, 0.000, 0.000)



| no. | D(E_F) (states/eV/cell) |
| --- | --- |
| 1 | 9.7 |
| 2 | 0.0 |
| 3 | 5.9 |
| 4 | 3.8 |
| 5 | 8.5 |